A relaxed structure of SmErIr, computed with PBE-GGA.

Cell: 4.8412 4.8338 6.8231 Å, 90.02 90.01 90.00°
Element x y z (fractional)
Sm 0.4997 0.0005 0.7500
Ir 0.0000 0.0000 0.0000
Ir 0.5000 0.5000 0.5000
Er 0.9998 0.5004 0.7499
Er 0.0002 0.4996 0.2501
Sm 0.5003 0.9995 0.2500

The excess energy over the best structure of this formula in the dataset comes out at 0.005 eV per atom. The space group is P2/m, No. 10. Its calculated density is 10604 kg/m3. The value obtained for the spin magnetization is 0.000 μB/f.u. Its formation energy is -0.66 eV per atom. For the uncorrected energy, the calculation gives -6.71 eV/atom.